The following is a DFT calculation (GGA-PBE) of a relaxed ZnSb2Br crystal.

Output
E_tot   -11.0 eV per cell
Total moment   0.0 μB/f.u.
Formation energy without anion corrections   58 meV/atom
Polymorph energy (0 for the lowest one)   216 meV per atom

Unit cell a=3.521 b=3.521 c=8.019 alpha=90.00 beta=90.00 gamma=90.00
Space group P4/mmm (No. 123)
Asymmetric unit:
Zn1 0.000 0.000 0.000 x1
Sb1 0.500 0.500 0.202 x2
Br1 0.000 0.000 0.500 x1

=====

The following is a DFT calculation (GGA-PBE) of a relaxed ZnSbBr2 crystal.

Output
E_tot   -16.2 eV per cell
Total moment   0.0 μB/f.u.
Formation energy without anion corrections   159 meV/atom

Unit cell a=6.713 b=8.541 c=3.578 alpha=90.00 beta=90.00 gamma=90.00
Space group Cmmm (No. 65)
Asymmetric unit:
Zn1 0.000 0.000 0.000 x2
Sb1 0.000 0.500 0.000 x2
Br1 0.250 0.250 0.500 x4

=====

The following is a DFT calculation (GGA-PBE) of a relaxed ZnSb2Br crystal.

Output
E_tot   -42.5 eV per cell
Total moment   0.0 μB/f.u.
Formation energy without anion corrections   145 meV/atom
Polymorph energy (0 for the lowest one)   303 meV per atom

Unit cell a=7.375 b=7.375 c=7.375 alpha=90.00 beta=90.00 gamma=90.00
Space group F-43m (No. 216)
Asymmetric unit:
Zn1 0.000 0.000 0.000 x4
Sb1 0.000 0.000 0.500 x4
Sb2 0.250 0.250 0.250 x4
Br1 0.250 0.250 0.750 x4

=====

The following is a DFT calculation (GGA-PBE) of a relaxed Zn2SbBr crystal.

Output
E_tot   -14.7 eV per cell
Total moment   0.0 μB/f.u.
Formation energy without anion corrections   249 meV/atom
Polymorph energy (0 for the lowest one)   537 meV per atom

Unit cell a=3.509 b=5.393 c=9.828 alpha=90.00 beta=90.00 gamma=90.00
Space group Immm (No. 71)
Asymmetric unit:
Zn1 0.000 0.000 0.243 x4
Sb1 0.000 0.500 0.500 x2
Br1 0.000 0.500 0.000 x2

=====

The following is a DFT calculation (GGA-PBE) of a relaxed ZnSbBr3 crystal.

Output
E_tot   -11.3 eV per cell
Total moment   0.0 μB/f.u.
Formation energy without anion corrections   -182 meV/atom
Polymorph energy (0 for the lowest one)   0 meV per atom

Unit cell a=5.620 b=5.620 c=5.620 alpha=90.00 beta=90.00 gamma=90.00
Space group Pm-3m (No. 221)
Asymmetric unit:
Zn1 0.000 0.000 0.000 x1
Sb1 0.500 0.500 0.500 x1
Br1 0.000 0.500 0.500 x3

=====

The following is a DFT calculation (GGA-PBE) of a relaxed Zn2SbBr crystal.

Output
E_tot   -18.1 eV per cell
Total moment   0.0 μB/f.u.
Formation energy without anion corrections   -179 meV/atom
Polymorph energy (0 for the lowest one)   109 meV per atom

Unit cell a=15.978 b=3.811 c=4.213 alpha=90.00 beta=98.34 gamma=90.00
Space group Cm (No. 8)
Asymmetric unit:
Zn1 0.000 0.000 0.000 x2
Zn2 0.153 0.500 0.731 x2
Sb1 0.157 0.000 0.234 x2
Br1 0.404 0.000 0.824 x2

=====

The following is a DFT calculation (GGA-PBE) of a relaxed ZnSbBr crystal.

Output
E_tot   -15.2 eV per cell
Total moment   0.0 μB/f.u.
Formation energy without anion corrections   -171 meV/atom
Polymorph energy (0 for the lowest one)   18 meV per atom

Unit cell a=5.997 b=6.024 c=6.424 alpha=96.28 beta=115.88 gamma=107.01
Space group P1 (No. 1)
Asymmetric unit:
Zn1 0.000 0.000 0.000 x1
Zn2 0.441 0.919 0.103 x1
Sb1 0.142 0.759 0.356 x1
Sb2 0.574 0.106 0.801 x1
Br1 0.391 0.496 0.201 x1
Br2 0.933 0.123 0.455 x1

=====

The following is a DFT calculation (GGA-PBE) of a relaxed Zn2SbBr crystal.

Output
E_tot   -15.8 eV per cell
Total moment   0.0 μB/f.u.
Formation energy without anion corrections   114 meV/atom
Polymorph energy (0 for the lowest one)   402 meV per atom

Unit cell a=13.190 b=3.371 c=5.739 alpha=90.00 beta=114.06 gamma=90.00
Space group C2/m (No. 12)
Asymmetric unit:
Zn1 0.175 0.000 0.482 x4
Sb1 0.000 0.500 0.500 x2
Br1 0.000 0.000 0.000 x2

=====

The following is a DFT calculation (GGA-PBE) of a relaxed ZnSbBr2 crystal.

Output
E_tot   -19.1 eV per cell
Total moment   0.0 μB/f.u.
Formation energy without anion corrections   -207 meV/atom

Unit cell a=3.873 b=6.644 c=9.593 alpha=90.00 beta=90.00 gamma=90.00
Space group Cmm2 (No. 35)
Asymmetric unit:
Zn1 0.000 0.000 0.000 x2
Sb1 0.000 0.500 0.215 x2
Br1 0.000 0.000 0.433 x2
Br2 0.000 0.500 0.832 x2

=====

The following is a DFT calculation (GGA-PBE) of a relaxed ZnSbBr2 crystal.

Output
E_tot   -8.6 eV per cell
Total moment   0.0 μB/f.u.
Formation energy without anion corrections   44 meV/atom

Unit cell a=3.580 b=4.646 c=6.257 alpha=90.00 beta=90.00 gamma=90.00
Space group Pmmm (No. 47)
Asymmetric unit:
Zn1 0.000 0.000 0.000 x1
Sb1 0.500 0.000 0.500 x1
Br1 0.000 0.500 0.500 x1
Br2 0.500 0.500 0.000 x1

=====

The following is a DFT calculation (GGA-PBE) of a relaxed Zn2SbBr crystal.

Output
E_tot   -8.0 eV per cell
Total moment   0.0 μB/f.u.
Formation energy without anion corrections   94 meV/atom
Polymorph energy (0 for the lowest one)   381 meV per atom

Unit cell a=3.510 b=3.510 c=7.363 alpha=90.00 beta=90.00 gamma=90.00
Space group P4/mmm (No. 123)
Asymmetric unit:
Zn1 0.000 0.000 0.234 x2
Sb1 0.500 0.500 0.000 x1
Br1 0.500 0.500 0.500 x1

=====

The following is a DFT calculation (GGA-PBE) of a relaxed ZnSb2Br crystal.

Output
E_tot   -35.5 eV per cell
Total moment   0.0 μB/f.u.
Formation energy without anion corrections   -158 meV/atom
Polymorph energy (0 for the lowest one)   0 meV per atom

Unit cell a=3.9688 b=3.9688 c=26.5627 alpha=90.00 beta=90.00 gamma=120.00
Space group R3m (No. 160, hexagonal axes)
Asymmetric unit:
Zn1 0.0000 0.0000 0.0000 x3
Sb1 0.0000 0.0000 0.2612 x3
Sb2 0.0000 0.0000 0.5265 x3
Br1 0.0000 0.0000 0.7206 x3

=====

The following is a DFT calculation (GGA-PBE) of a relaxed ZnSb2Br crystal.

Output
E_tot   -11.6 eV per cell
Total moment   0.0 μB/f.u.
Formation energy without anion corrections   -104 meV/atom
Polymorph energy (0 for the lowest one)   55 meV per atom

Unit cell a=5.275 b=4.325 c=5.294 alpha=90.00 beta=114.53 gamma=90.00
Space group P2/m (No. 10)
Asymmetric unit:
Zn1 0.000 0.000 0.000 x1
Sb1 0.186 0.500 0.814 x2
Br1 0.500 0.000 0.500 x1

=====

The following is a DFT calculation (GGA-PBE) of a relaxed ZnSbBr crystal.

Output
E_tot   -19.8 eV per cell
Total moment   1.0 μB/f.u.
Formation energy without anion corrections   706 meV/atom
Polymorph energy (0 for the lowest one)   894 meV per atom

Unit cell a=7.195 b=7.195 c=7.195 alpha=90.00 beta=90.00 gamma=90.00
Space group F-43m (No. 216)
Asymmetric unit:
Zn1 0.000 0.000 0.000 x4
Sb1 0.000 0.000 0.500 x4
Br1 0.250 0.250 0.750 x4

=====

The following is a DFT calculation (GGA-PBE) of a relaxed Zn2SbBr crystal.

Output
E_tot   -7.4 eV per cell
Total moment   0.0 μB/f.u.
Formation energy without anion corrections   245 meV/atom
Polymorph energy (0 for the lowest one)   533 meV per atom

Unit cell a=3.287 b=5.096 c=5.571 alpha=90.00 beta=90.00 gamma=90.00
Space group Pmmm (No. 47)
Asymmetric unit:
Zn1 0.000 0.000 0.000 x1
Zn2 0.500 0.500 0.000 x1
Sb1 0.000 0.500 0.500 x1
Br1 0.500 0.000 0.500 x1

=====

The following is a DFT calculation (GGA-PBE) of a relaxed ZnSbBr crystal.

Output
E_tot   -13.8 eV per cell
Total moment   0.0 μB/f.u.
Formation energy without anion corrections   50 meV/atom
Polymorph energy (0 for the lowest one)   238 meV per atom

Unit cell a=3.323 b=3.323 c=14.278 alpha=90.00 beta=90.00 gamma=90.00
Space group I4mm (No. 107)
Asymmetric unit:
Zn1 0.000 0.000 0.000 x2
Sb1 0.000 0.000 0.357 x2
Br1 0.000 0.000 0.608 x2

=====

The following is a DFT calculation (GGA-PBE) of a relaxed Zn2SbBr crystal.

Output
E_tot   -15.9 eV per cell
Total moment   0.0 μB/f.u.
Formation energy without anion corrections   97 meV/atom
Polymorph energy (0 for the lowest one)   385 meV per atom

Unit cell a=3.292 b=5.679 c=9.852 alpha=90.00 beta=90.00 gamma=90.00
Space group Imm2 (No. 44)
Asymmetric unit:
Zn1 0.000 0.000 0.000 x2
Zn2 0.000 0.500 0.293 x2
Sb1 0.000 0.500 0.745 x2
Br1 0.000 0.000 0.571 x2

=====

The following is a DFT calculation (GGA-PBE) of a relaxed ZnSb2Br crystal.

Output
E_tot   -43.5 eV per cell
Total moment   0.0 μB/f.u.
Formation energy without anion corrections   81 meV/atom
Polymorph energy (0 for the lowest one)   240 meV per atom

Unit cell a=4.433 b=4.433 c=22.758 alpha=90.00 beta=90.00 gamma=90.00
Space group I-42d (No. 122)
Asymmetric unit:
Zn1 0.000 0.000 0.000 x4
Sb1 0.207 0.250 0.125 x8
Br1 0.000 0.000 0.500 x4

=====

The following is a DFT calculation (GGA-PBE) of a relaxed ZnSb2Br crystal.

Output
E_tot   -22.6 eV per cell
Total moment   0.0 μB/f.u.
Formation energy without anion corrections   -24 meV/atom
Polymorph energy (0 for the lowest one)   134 meV per atom

Unit cell a=7.939 b=4.059 c=7.999 alpha=90.00 beta=115.75 gamma=90.00
Space group C2/m (No. 12)
Asymmetric unit:
Zn1 0.000 0.000 0.000 x2
Sb1 0.215 0.000 0.827 x4
Br1 0.000 0.500 0.500 x2

=====

The following is a DFT calculation (GGA-PBE) of a relaxed Zn2SbBr crystal.

Output
E_tot   -26.4 eV per cell
Total moment   0.0 μB/f.u.
Formation energy without anion corrections   -115 meV/atom
Polymorph energy (0 for the lowest one)   173 meV per atom

Unit cell a=4.0470 b=4.0470 c=20.3519 alpha=90.00 beta=90.00 gamma=120.00
Space group R-3m (No. 166, hexagonal axes)
Asymmetric unit:
Zn1 0.0000 0.0000 0.2398 x6
Sb1 0.0000 0.0000 0.5000 x3
Br1 0.0000 0.0000 0.0000 x3